(1)
# MnReOs3

Crystalline MnReOs3 at its relaxed geometry (PBE-GGA, the Alexandria database).

a b c (Å): 5.2342 8.2885 5.2331
angles (deg): 73.28 123.29 73.17
Each line ends with the local moment (μB).
Fractional coordinates of all 10 atoms:
Mn (0.9927, 0.1508, 0.7420)  1.96
Mn (0.9927, 0.6508, 0.7420)  1.96
Re (0.3346, 0.9011, 0.3997)  -0.13
Re (0.6509, 0.4004, 0.0842)  -0.13
Os (0.2520, 0.2909, 0.1990)  -0.10
Os (0.7335, 0.0106, 0.2850)  -0.10
Os (0.4501, 0.7907, 0.0016)  -0.10
Os (0.8384, 0.9009, 0.8963)  -0.03
Os (0.1471, 0.4007, 0.5877)  -0.03
Os (0.5353, 0.5109, 0.4824)  -0.10

Relative energy among the computed polymorphs (kJ/mol of atoms): 0.0
ΔE_f (eV/atom): 0.443
Symmetry: P-1
Fermi-level density of states (states/eV per cell): 7.7

---

(2)
# Mn2ReOs6

Crystalline Mn2ReOs6 at its relaxed geometry (PBE-GGA, the Alexandria database).

a b c (Å): 7.1337 7.7352 7.7352
angles (deg): 66.22 50.84 50.84
Fractional coordinates of all 18 atoms:
Mn (0.1100, 0.5450, 0.8213)
Mn (0.3900, 0.1787, 0.4550)
Mn (0.8900, 0.4550, 0.1787)
Mn (0.6100, 0.8213, 0.5450)
Re (0.2500, 0.1229, 0.8771)
Re (0.7500, 0.8771, 0.1229)
Os (0.4169, 0.7033, 0.4852)
Os (0.0831, 0.5148, 0.2967)
Os (0.5831, 0.2967, 0.5148)
Os (0.9169, 0.4852, 0.7033)
Os (0.9713, 0.9359, 0.2599)
Os (0.5287, 0.7401, 0.0641)
Os (0.0287, 0.0641, 0.7401)
Os (0.4713, 0.2599, 0.9359)
Os (0.3345, 0.6789, 0.9034)
Os (0.1655, 0.0966, 0.3211)
Os (0.6655, 0.3211, 0.0966)
Os (0.8345, 0.9034, 0.6789)

ΔE_f (eV/atom): 0.259
Symmetry: C2/c
Fermi-level density of states (states/eV per cell): 14.4

---

(3)
# MnReOs2

Crystalline MnReOs2 at its relaxed geometry (PBE-GGA, the Alexandria database).

a b c (Å): 2.7046 3.8101 5.3997
angles (deg): 90.00 90.00 90.00
Each line ends with the local moment (μB).
Fractional coordinates of all 4 atoms:
Mn (0.5000, 0.5000, 0.7500)  1.68
Os (0.0000, 0.0000, 0.9893)  -0.16
Os (0.0000, 0.0000, 0.5107)  -0.16
Re (0.5000, 0.5000, 0.2500)  -0.01

Relative energy among the computed polymorphs (kJ/mol of atoms): 1.6
ΔE_f (eV/atom): 0.073
Symmetry: Pmmm
Fermi-level density of states (states/eV per cell): 4.3

---

(4)
# MnReOs2

Crystalline MnReOs2 at its relaxed geometry (PBE-GGA, the Alexandria database).

a b c (Å): 5.1639 5.1639 5.1639
angles (deg): 147.15 130.06 61.08
Each line ends with the local moment (μB).
Fractional coordinates of all 4 atoms:
Mn (0.2506, 0.7506, 0.5000)  2.61
Os (0.0223, 0.0223, 0.0000)  -0.01
Os (0.7478, 0.2478, 0.5000)  0.10
Re (0.4793, 0.4793, 0.0000)  -0.11

Relative energy among the computed polymorphs (kJ/mol of atoms): 20.8
ΔE_f (eV/atom): 0.271
Symmetry: Imm2
Fermi-level density of states (states/eV per cell): 3.5

---

(5)
# MnRe2Os

Crystalline MnRe2Os at its relaxed geometry (PBE-GGA, the Alexandria database).

a b c (Å): 4.6754 4.6754 4.6953
angles (deg): 80.25 80.25 33.94
Each line ends with the local moment (μB).
Fractional coordinates of all 4 atoms:
Mn (0.5001, 0.5001, 0.5022)  1.61
Os (0.2498, 0.2498, 0.2504)  -0.04
Re (0.9984, 0.9984, 0.0088)  -0.12
Re (0.7518, 0.7518, 0.7386)  -0.12

Relative energy among the computed polymorphs (kJ/mol of atoms): 3.7
ΔE_f (eV/atom): 0.085
Symmetry: Cm
Fermi-level density of states (states/eV per cell): 3.9

---

(6)
# MnReOs2

Crystalline MnReOs2 at its relaxed geometry (PBE-GGA, the Alexandria database).

a b c (Å): 2.7130 3.7883 5.4045
angles (deg): 90.00 90.00 90.00
Each line ends with the local moment (μB).
Fractional coordinates of all 4 atoms:
Mn (0.5000, 0.5000, 0.7544)  1.59
Os (0.0000, 0.0000, 0.9874)  -0.14
Os (0.5000, 0.5000, 0.2487)  0.05
Re (0.0000, 0.0000, 0.5094)  -0.16

Relative energy among the computed polymorphs (kJ/mol of atoms): 3.1
ΔE_f (eV/atom): 0.088
Symmetry: Pmm2
Fermi-level density of states (states/eV per cell): 3.9

---

Look up the Fermi-level density of states of the first one. 7.7 states/eV per cell